No. 1
A geometry-optimized Dy3Er6Tm2Th structure. Source: the Alexandria database, functional GGA-PBE.

Geometry as CIF:
```
data_Dy3Er6Tm2Th
_symmetry_space_group_name_H-M 'C 1 2/m 1'
_symmetry_Int_Tables_number 12
_cell_length_a 6.098
_cell_length_b 10.558
_cell_length_c 11.670
_cell_angle_alpha 90.00
_cell_angle_beta 100.05
_cell_angle_gamma 90.00
loop_
_symmetry_equiv_pos_as_xyz
'x,y,z'
'-x,-y,-z'
'-x,y,-z'
'x,-y,z'
'x+1/2,y+1/2,z'
'-x+1/2,-y+1/2,-z'
'-x+1/2,y+1/2,-z'
'x+1/2,-y+1/2,z'
loop_
_atom_site_label
_atom_site_fract_x
_atom_site_fract_y
_atom_site_fract_z
Dy1 0.000 0.000 0.000
Dy2 0.000 0.333 0.000
Er1 0.247 0.500 0.251
Er2 0.249 0.335 0.749
Tm1 0.000 0.167 0.500
Th1 0.000 0.500 0.500
```

***

No. 2
A geometry-optimized Tm2CrRu3 structure. Source: the Alexandria database, functional GGA-PBE.

Geometry as CIF:
```
data_Tm2CrRu3
_symmetry_space_group_name_H-M 'P 63/m m c'
_symmetry_Int_Tables_number 194
_symmetry_space_group_name_Hall '-P 6c 2c'
_cell_length_a 5.4198
_cell_length_b 5.4198
_cell_length_c 8.0769
_cell_angle_alpha 90.00
_cell_angle_beta 90.00
_cell_angle_gamma 120.00
loop_
_atom_site_label
_atom_site_fract_x
_atom_site_fract_y
_atom_site_fract_z
Tm1 0.3333 0.6667 0.0613
Cr1 0.0000 0.0000 0.0000
Ru1 0.1691 0.3382 0.7500
```

***

No. 3
A geometry-optimized AcNi4P3 structure. Source: the Alexandria database, functional GGA-PBE.

Geometry as CIF:
```
data_AcNi4P3
_symmetry_space_group_name_H-M 'P 4/m m m'
_symmetry_Int_Tables_number 123
_symmetry_space_group_name_Hall '-P 4 2'
_cell_length_a 3.803
_cell_length_b 3.803
_cell_length_c 8.515
_cell_angle_alpha 90.00
_cell_angle_beta 90.00
_cell_angle_gamma 90.00
loop_
_atom_site_label
_atom_site_fract_x
_atom_site_fract_y
_atom_site_fract_z
Ac1 0.000 0.000 0.000
Ni1 0.000 0.500 0.348
P1 0.000 0.000 0.500
P2 0.500 0.500 0.208
```

***

Number 1: raw total energy -4.773 eV per atom, energy of formation 0.022 eV/atom. Number 2: raw total energy -8.025 eV per atom, energy of formation -0.293 eV/atom. Number 3: raw total energy -6.174 eV per atom, energy of formation -0.741 eV/atom.